## Rb2PmRuO6 (PBE)

Data for a relaxed Rb2PmRuO6 crystal.

Cell: 6.0335 6.0335 6.0330 Å, 120.00 120.01 89.99°
Closest atoms and distances in Å follow each position.
Element x y z (fractional)
Rb 0.7500 0.2505 0.5000  12 O 3.02-3.03
Rb 0.2500 0.7505 0.5000  12 O 3.02-3.03
Pm 0.4999 0.5004 0.9998  6 O 2.35
Ru 0.9999 0.0004 0.9998  6 O 1.92
O 0.7751 0.7756 0.9997  1 Ru 1.92
O 0.7751 0.7756 0.5502  1 Ru 1.92
O 0.2246 0.2251 0.9997  1 Ru 1.92
O 0.7752 0.2251 0.9997  1 Ru 1.92
O 0.2246 0.2251 0.4493  1 Ru 1.92
O 0.2246 0.7757 0.9997  1 Ru 1.92

Formation energy without anion corrections (eV per atom): -1.6791
Density of states at the Fermi level (states/eV/cell): 4.085


## RbPmRuO4 (PBE)

Data for a relaxed RbPmRuO4 crystal.

Cell: 6.6222 6.8464 7.5167 Å, 123.30 90.00 118.92°
Closest atoms and distances in Å follow each position.
Element x y z (fractional)
Rb 0.8538 0.7076 0.1038  4 O 2.54-2.67
Rb 0.1462 0.2924 0.8962  4 O 2.54-2.67
Pm 0.5000 0.0000 0.5000  6 O 2.37-2.39
Pm 0.5000 0.0000 0.0000  6 O 2.37-2.39
Ru 0.5000 0.5000 0.5000  6 O 2.03-2.09
Ru 0.0000 0.5000 0.5000  6 O 2.03-2.09
O 0.7481 0.4962 0.6682  2 Ru 2.09
O 0.3208 0.0685 0.2843  1 Ru 2.03
O 0.7477 0.0685 0.2843  1 Ru 2.03
O 0.7481 0.4962 0.3280  2 Ru 2.09
O 0.2519 0.5038 0.6720  2 Ru 2.09
O 0.6792 0.9315 0.7157  1 Ru 2.03
O 0.2523 0.9315 0.7157  1 Ru 2.03
O 0.2519 0.5038 0.3318  2 Ru 2.09

Formation energy without anion corrections (eV per atom): -1.7947
Density of states at the Fermi level (states/eV/cell): 5.107


## Rb3Pm2RuO6 (PBE)

Data for a relaxed Rb3Pm2RuO6 crystal.

Cell: 6.0293 6.0293 6.8341 Å, 98.49 98.49 119.95°
Closest atoms and distances in Å follow each position.
Element x y z (fractional)
Rb 0.1619 0.8381 0.5000  6 O 2.82-3.06
Rb 0.8381 0.1619 0.5000  6 O 2.82-3.06
Rb 0.5000 0.5000 0.5000  6 O 2.87-2.95
Pm 0.3346 0.6654 0.0000  6 O 2.37-2.39
Pm 0.6654 0.3346 0.0000  6 O 2.37-2.39
Ru 0.0000 0.0000 0.0000  6 O 2.18-2.27
O 0.9426 0.6350 0.8245  1 Ru 2.18, 2 Pm 2.39
O 0.7418 0.7418 0.1832  1 Ru 2.27, 2 Pm 2.37
O 0.0574 0.3650 0.1755  1 Ru 2.18, 2 Pm 2.39
O 0.6350 0.9426 0.8245  1 Ru 2.18, 2 Pm 2.39
O 0.2582 0.2582 0.8168  1 Ru 2.27, 2 Pm 2.37
O 0.3650 0.0574 0.1755  1 Ru 2.18, 2 Pm 2.39

Formation energy without anion corrections (eV per atom): -1.9443
Density of states at the Fermi level (states/eV/cell): 7.116


## RbPmSO6 (PBE)

Data for a relaxed RbPmSO6 crystal.

Cell: 5.5745 5.5745 5.9521 Å, 90.01 89.99 59.99°
Closest atoms and distances in Å follow each position.
Element x y z (fractional)
Rb 0.9999 0.0000 0.0001  6 O 2.96
Pm 0.6666 0.6667 0.5001  6 O 2.35
S 0.3333 0.3333 0.5000  6 O 1.66
O 0.0899 0.3347 0.3390  1 S 1.66
O 0.3345 0.0901 0.6610  1 S 1.66
O 0.5753 0.3346 0.6610  1 S 1.66
O 0.0899 0.5755 0.6609  1 S 1.66
O 0.3348 0.5752 0.3390  1 S 1.66
O 0.5754 0.0898 0.3390  1 S 1.66

Formation energy without anion corrections (eV per atom): -1.4446
Density of states at the Fermi level (states/eV/cell): 4.793


## Rb3PmSb2O8 (PBE)

Data for a relaxed Rb3PmSb2O8 crystal.

Cell: 6.3182 6.3182 8.1381 Å, 90.00 90.00 120.00°
Closest atoms and distances in Å follow each position.
Element x y z (fractional)
Rb 0.3333 0.6667 0.6813  1 O 2.65
Rb 0.6667 0.3333 0.3187  1 O 2.65
Rb 0.0000 0.0000 0.0000  12 O 3.27-3.65
Pm 0.0000 0.0000 0.5000  6 O 2.34
Sb 0.3333 0.6667 0.2359  4 O 1.87-1.92
Sb 0.6667 0.3333 0.7641  4 O 1.87-1.92
O 0.3333 0.6667 0.0064  1 Sb 1.87
O 0.6667 0.3333 0.9936  1 Sb 1.87
O 0.1721 0.8279 0.3292  1 Sb 1.92
O 0.8279 0.1721 0.6708  1 Sb 1.92
O 0.1721 0.3442 0.3292  1 Sb 1.92
O 0.8279 0.6558 0.6708  1 Sb 1.92
O 0.6558 0.8279 0.3292  1 Sb 1.92
O 0.3442 0.1721 0.6708  1 Sb 1.92

Formation energy without anion corrections (eV per atom): -1.8622
Density of states at the Fermi level (states/eV/cell): 0.000


## Rb3Pm3SbO8 (PBE)

Data for a relaxed Rb3Pm3SbO8 crystal.

Cell: 7.1134 7.1149 7.8334 Å, 117.03 89.99 120.00°
Closest atoms and distances in Å follow each position.
Element x y z (fractional)
Rb 0.0000 0.0000 0.0000  6 O 2.97-2.99
Rb 0.0000 0.5000 0.0000  6 O 2.97-2.99
Rb 0.5000 0.5000 0.0000  6 O 2.97-2.99
Pm 0.5000 0.0000 0.5000  6 O 2.36-2.42
Pm 0.5000 0.5000 0.5000  6 O 2.36-2.42
Pm 0.0000 0.5000 0.5000  6 O 2.36-2.42
Sb 0.0000 0.0000 0.5000  6 O 2.18
O 0.2750 0.5500 0.3252  3 Pm 2.36
O 0.7250 0.4500 0.6748  3 Pm 2.36
O 0.7920 0.5841 0.3328  1 Sb 2.18, 2 Pm 2.42
O 0.2080 0.4159 0.6672  1 Sb 2.18, 2 Pm 2.42
O 0.7920 0.0406 0.3329  1 Sb 2.18, 2 Pm 2.42
O 0.2080 0.9594 0.6671  1 Sb 2.18, 2 Pm 2.42
O 0.2486 0.0406 0.3329  1 Sb 2.18, 2 Pm 2.42
O 0.7514 0.9594 0.6671  1 Sb 2.18, 2 Pm 2.42

Formation energy without anion corrections (eV per atom): -2.3477
Density of states at the Fermi level (states/eV/cell): 1.768


## RbPm2SbO5 (PBE)

Data for a relaxed RbPm2SbO5 crystal.

Cell: 6.8938 6.8938 7.9757 Å, 115.61 115.61 90.00°
Closest atoms and distances in Å follow each position.
Element x y z (fractional)
Rb 0.2500 0.2500 0.5000  10 O 3.14-3.16, 4 Sb 3.45
Rb 0.7500 0.7500 0.5000  10 O 3.14-3.16, 4 Sb 3.45
Pm 0.1798 0.3202 0.0000  4 O 2.30-2.53
Pm 0.6798 0.1798 0.0000  4 O 2.30-2.53
Pm 0.3202 0.8202 0.0000  4 O 2.30-2.53
Pm 0.8202 0.6798 0.0000  4 O 2.30-2.53
Sb 0.2500 0.7500 0.5000  4 O 2.15
Sb 0.7500 0.2500 0.5000  4 O 2.15
O 0.9779 0.4779 0.2371  1 Sb 2.15, 1 Pm 2.30
O 0.7408 0.2408 0.7629  1 Sb 2.15, 1 Pm 2.30
O 0.0221 0.5221 0.7629  1 Sb 2.15, 1 Pm 2.30
O 0.2408 0.0221 0.7629  1 Sb 2.15, 1 Pm 2.30
O 0.5221 0.7408 0.7629  1 Sb 2.15, 1 Pm 2.30
O 0.7592 0.9779 0.2371  1 Sb 2.15, 1 Pm 2.30
O 0.4779 0.2592 0.2371  1 Sb 2.15, 1 Pm 2.30
O 0.2592 0.7592 0.2371  1 Sb 2.15, 1 Pm 2.30
O 0.5000 0.5000 0.0000  4 Pm 2.53
O 0.0000 0.0000 0.0000  4 Pm 2.53

Formation energy without anion corrections (eV per atom): -2.2873


## Rb2PmSbO6 (PBE)

Data for a relaxed Rb2PmSbO6 crystal.

Cell: 6.1704 6.1703 6.1724 Å, 59.99 60.00 90.00°
Closest atoms and distances in Å follow each position.
Element x y z (fractional)
Rb 0.2500 0.7500 0.5000  12 O 3.09
Rb 0.7500 0.2500 0.5000  12 O 3.09
Pm 0.0000 0.0000 0.0000  6 O 2.35-2.36
Sb 0.5000 0.5000 0.0000  6 O 2.01
O 0.2698 0.7302 0.0000  1 Sb 2.01
O 0.7302 0.7302 0.9999  1 Sb 2.01
O 0.2699 0.2698 0.4602  1 Sb 2.01
O 0.7302 0.2698 0.0000  1 Sb 2.01
O 0.2698 0.2698 0.0001  1 Sb 2.01
O 0.7301 0.7302 0.5398  1 Sb 2.01

Formation energy without anion corrections (eV per atom): -1.7673
Density of states at the Fermi level (states/eV/cell): 2.883


## Rb2PmScO4 (PBE)

Data for a relaxed Rb2PmScO4 crystal.

Cell: 3.4756 5.9906 6.8265 Å, 106.93 90.00 90.00°
Closest atoms and distances in Å follow each position.
Element x y z (fractional)
Rb 0.5000 0.0000 0.5000  6 O 2.86-2.88
Rb 0.0000 0.5000 0.5000  6 O 2.97-3.01
Pm 0.5000 0.5000 0.0000  6 O 2.37-2.38
Sc 0.0000 0.0000 0.0000  6 O 2.18-2.26
O 0.5000 0.2077 0.1724  2 Sc 2.26, 1 Pm 2.38
O 0.5000 0.7923 0.8276  2 Sc 2.26, 1 Pm 2.38
O 0.0000 0.2528 0.8255  1 Sc 2.18, 2 Pm 2.37
O 0.0000 0.7472 0.1745  1 Sc 2.18, 2 Pm 2.37

Formation energy without anion corrections (eV per atom): -2.5803
Density of states at the Fermi level (states/eV/cell): 0.000


## Rb4Pm3ScO8 (PBE)

Data for a relaxed Rb4Pm3ScO8 crystal.

Cell: 7.1046 7.7441 7.1045 Å, 117.29 120.00 90.00°
Closest atoms and distances in Å follow each position.
Element x y z (fractional)
Rb 0.5000 0.0000 0.0000  6 O 3.04
Rb 0.5000 0.0000 0.5000  6 O 2.92-2.93
Rb 0.0000 0.0000 0.0000  6 O 2.92-2.93
Rb 0.0000 0.0000 0.5000  6 O 2.92-2.93
Pm 0.5000 0.5000 0.0000  6 O 2.37-2.40
Pm 0.5000 0.5000 0.5000  6 O 2.37-2.40
Pm 0.0000 0.5000 0.5000  6 O 2.37-2.40
Sc 0.0000 0.5000 0.0000  6 O 2.25
O 0.2156 0.6749 0.9592  1 Sc 2.25, 2 Pm 2.40
O 0.2156 0.6749 0.4312  1 Sc 2.25, 2 Pm 2.40
O 0.2729 0.3188 0.5459  3 Pm 2.37
O 0.7436 0.6749 0.9592  1 Sc 2.25, 2 Pm 2.40
O 0.2564 0.3251 0.0408  1 Sc 2.25, 2 Pm 2.40
O 0.7271 0.6812 0.4541  3 Pm 2.37
O 0.7844 0.3251 0.5688  1 Sc 2.25, 2 Pm 2.40
O 0.7844 0.3251 0.0408  1 Sc 2.25, 2 Pm 2.40

Formation energy without anion corrections (eV per atom): -2.5755
Density of states at the Fermi level (states/eV/cell): 0.000


## RbPmSe2O8 (PBE)

Data for a relaxed RbPmSe2O8 crystal.

Cell: 5.6354 5.6354 8.7305 Å, 90.00 90.00 120.00°
Closest atoms and distances in Å follow each position.
Element x y z (fractional)
Rb 0.0000 0.0000 0.0000  12 O 3.32-3.42
Pm 0.0000 0.0000 0.5000  6 O 2.33
Se 0.6667 0.3333 0.2644  4 O 1.64-1.68
Se 0.3333 0.6667 0.7356  4 O 1.64-1.68
O 0.3333 0.6667 0.9237  1 Se 1.64
O 0.3590 0.2621 0.3323  1 Se 1.68
O 0.7379 0.0969 0.3323  1 Se 1.68
O 0.6667 0.3333 0.0763  1 Se 1.64
O 0.2621 0.9031 0.6677  1 Se 1.68
O 0.6410 0.7379 0.6677  1 Se 1.68
O 0.0969 0.3590 0.6677  1 Se 1.68
O 0.9031 0.6410 0.3323  1 Se 1.68

Formation energy without anion corrections (eV per atom): -1.5308
Density of states at the Fermi level (states/eV/cell): 0.000


## RbPmSeO (PBE)

Data for a relaxed RbPmSeO crystal.

Cell: 3.9191 3.9186 8.0395 Å, 90.18 104.06 120.01°
Closest atoms and distances in Å follow each position.
Element x y z (fractional)
Rb 0.9704 0.3854 0.3677  3 Se 3.22-3.23, 3 O 3.44-3.47, 1 Pm 3.53
Pm 0.2749 0.5343 0.8260  3 O 2.44
Se 0.1045 0.9507 0.0697  3 Pm 2.94, 3 Rb 3.22-3.23
O 0.5281 0.1604 0.7063  3 Pm 2.44

Formation energy without anion corrections (eV per atom): -2.0115
Density of states at the Fermi level (states/eV/cell): 0.000